# Cs3ScPa2O9

A geometry-optimized Cs3ScPa2O9 structure (PBE-GGA, the Alexandria database).

Structure (POSCAR):
```
Cs3ScPa2O9
1.0
6.242 0.000 0.000
-3.121 5.406 0.000
0.000 0.000 7.619
Cs Sc Pa O
3 1 2 9
Direct
0.000 0.000 0.000
0.333 0.667 0.665
0.667 0.333 0.335
0.000 0.000 0.500
0.333 0.667 0.175
0.667 0.333 0.825
0.000 0.500 0.000
0.167 0.335 0.336
0.167 0.833 0.336
0.335 0.167 0.664
0.500 0.000 0.000
0.500 0.500 0.000
0.665 0.833 0.336
0.833 0.167 0.664
0.833 0.665 0.664
```

Summary:
Total energy in eV per atom: -7.476
Space-group type: P-3m1